K2PuMn2O6 | Alexandria | PBE+U | relaxed; uncorrected energy = -7.30 eV per atom; density of states at the Fermi level = 2.33 states/eV per cell; calculated volume = 14.68 Å³/atom; space-group type = No. 12
1.0
5.4497 -0.0513 0.0145
-2.7382 4.7122 0.0145
-1.0041 -1.7260 6.3100
K Mn O Pu
2 2 6 1
Direct
0.1691 0.8309 0.0000 K
0.8309 0.1691 0.0000 K
0.6657 0.3343 0.5000 Mn
0.3343 0.6657 0.5000 Mn
0.9491 0.5877 0.3324 O
0.2918 0.2918 0.3276 O
0.7082 0.7082 0.6724 O
0.4123 0.0509 0.6676 O
0.5877 0.9491 0.3324 O
0.0509 0.4123 0.6676 O
0.0000 0.0000 0.5000 Pu